Below is a geometry-optimized HfPaIr structure, with properties calculated at the PBE level.

Distance to the lowest polymorph of the same formula (meV/atom): 0
DFT formation energy (eV/atom): -0.270
Magnetization (μB/f.u.): 0.1
SG: F-43m, No. 216

Lattice parameters (Å, degrees): 4.678 4.678 4.678 60.00 60.00 60.00
Fractional positions:
Hf  0.750  0.750  0.750
Pa  0.250  0.250  0.250
Ir  0.000  0.000  0.000

=====

Below is a geometry-optimized HfIr2Pd structure, with properties calculated at the PBE level.

DFT formation energy (eV/atom): -0.320
Magnetization (μB/f.u.): 0.6
SG: F-43m, No. 216

Lattice parameters (Å, degrees): 4.517 4.517 4.517 60.00 60.00 60.00
Site moments in Bohr magnetons follow the coordinates.
Fractional positions:
Hf  0.250  0.250  0.250  -0.01
Ir  0.000  0.000  0.000  0.31
Pd  0.500  0.500  0.500  0.01
Ir  0.750  0.750  0.750  0.30

=====

Below is a geometry-optimized HfIrPd2 structure, with properties calculated at the PBE level.

DFT formation energy (eV/atom): -0.534
Magnetization (μB/f.u.): 0.0
SG: F-43m, No. 216

Lattice parameters (Å, degrees): 4.521 4.521 4.521 60.00 60.00 60.00
Fractional positions:
Pd  0.250  0.250  0.250
Pd  0.000  0.000  0.000
Ir  0.750  0.750  0.750
Hf  0.500  0.500  0.500

=====

Below is a geometry-optimized HfIrPd2 structure, with properties calculated at the PBE level.

DFT formation energy (eV/atom): -0.534
Magnetization (μB/f.u.): 0.0
SG: F-43m, No. 216

Lattice parameters (Å, degrees): 4.521 4.521 4.521 60.00 60.00 60.00
Fractional positions:
Ir  0.500  0.500  0.500
Pd  0.000  0.000  0.000
Pd  0.250  0.250  0.250
Hf  0.750  0.750  0.750

=====

Below is a geometry-optimized HfIrPd structure, with properties calculated at the PBE level.

Distance to the lowest polymorph of the same formula (meV/atom): 61
DFT formation energy (eV/atom): -0.291
Magnetization (μB/f.u.): 0.0
SG: F-43m, No. 216

Lattice parameters (Å, degrees): 4.389 4.389 4.389 60.00 60.00 60.00
Fractional positions:
Hf  0.250  0.250  0.250
Pd  0.750  0.750  0.750
Ir  0.000  0.000  0.000

=====

Below is a geometry-optimized HfIrPd structure, with properties calculated at the PBE level.

Distance to the lowest polymorph of the same formula (meV/atom): 0
DFT formation energy (eV/atom): -0.352
Magnetization (μB/f.u.): 0.0
SG: F-43m, No. 216

Lattice parameters (Å, degrees): 4.356 4.356 4.356 60.00 60.00 60.00
Fractional positions:
Pd  0.750  0.750  0.750
Hf  0.000  0.000  0.000
Ir  0.250  0.250  0.250